<i>
La5In | PBE-GGA | relaxed

* Fermi-level density of states: 1.22 states/eV/atom

a = 5.021 Å, b = 15.781 Å, c = 5.126 Å
α = 90.00°, β = 90.00°, γ = 90.00°
Space group Cmmm (No. 65)
Inequivalent atoms, fractional coordinates:
La 0.000 0.000 0.000 x2
La 0.000 0.166 0.500 x4
La 0.000 0.341 0.000 x4
In 0.000 0.500 0.500 x2

<ii>
La5In | PBE-GGA | relaxed

* Fermi-level density of states: 1.39 states/eV/atom

a = 5.896 Å, b = 3.755 Å, c = 18.554 Å
α = 90.00°, β = 90.00°, γ = 90.00°
Space group Amm2 (No. 38)
Inequivalent atoms, fractional coordinates:
La 0.000 0.000 0.000 x2
La 0.000 0.000 0.316 x2
La 0.500 0.000 0.192 x2
La 0.500 0.000 0.539 x2
La 0.500 0.000 0.865 x2
In 0.000 0.000 0.655 x2

Most stable structure among those shown: <i>.